Record 1
DFT (GGA-PBE) results for a relaxed structure of TlRhSeBr2.

```
data_TlRhSeBr2
_chemical_formula_sum 'Tl1 Rh1 Se1 Br2'
_cell_length_a 5.581
_cell_length_b 5.581
_cell_length_c 5.420
_cell_angle_alpha 90.00
_cell_angle_beta 90.00
_cell_angle_gamma 90.00
_space_group_name_H-M_alt 'P 4/m m m'
_space_group_IT_number 123
_space_group_name_Hall '-P 4 2'
loop_
_atom_site_label
_atom_site_type_symbol
_atom_site_fract_x
_atom_site_fract_y
_atom_site_fract_z
Tl1 Tl 0.000 0.000 0.000
Rh1 Rh 0.500 0.500 0.500
Se1 Se 0.000 0.000 0.500
Br1 Br 0.000 0.500 0.000
```

Computed properties:
Magnetic moment in μB/atom: 0.47
Calculated volume in Å³/cell: 168.8
Uncorrected formation energy in meV per atom: 750
Total DFT energy (no corrections) in eV per cell: -12.80

Record 2
DFT (GGA-PBE) results for a relaxed structure of RhWSeBr2.

```
data_RhWSeBr2
_chemical_formula_sum 'Rh1 W1 Se1 Br2'
_cell_length_a 5.068
_cell_length_b 5.068
_cell_length_c 4.858
_cell_angle_alpha 90.00
_cell_angle_beta 90.00
_cell_angle_gamma 90.00
_space_group_name_H-M_alt 'P 4/m m m'
_space_group_IT_number 123
_space_group_name_Hall '-P 4 2'
loop_
_atom_site_label
_atom_site_type_symbol
_atom_site_fract_x
_atom_site_fract_y
_atom_site_fract_z
Rh1 Rh 0.000 0.000 0.000
W1 W 0.500 0.500 0.500
Se1 Se 0.500 0.500 0.000
Br1 Br 0.000 0.500 0.500
```

Computed properties:
Magnetic moment in μB/atom: 0.04
Calculated volume in Å³/cell: 124.8
Uncorrected formation energy in meV per atom: 981
Total DFT energy (no corrections) in eV per cell: -22.23

- Among the records above, which one has the highest total DFT energy (no corrections)?
  TlRhSeBr2

- Which of these has the lowest magnetic moment?
  RhWSeBr2

Copy entry 2 word for word.
DFT (GGA-PBE) results for a relaxed structure of RhWSeBr2.

```
data_RhWSeBr2
_chemical_formula_sum 'Rh1 W1 Se1 Br2'
_cell_length_a 5.068
_cell_length_b 5.068
_cell_length_c 4.858
_cell_angle_alpha 90.00
_cell_angle_beta 90.00
_cell_angle_gamma 90.00
_space_group_name_H-M_alt 'P 4/m m m'
_space_group_IT_number 123
_space_group_name_Hall '-P 4 2'
loop_
_atom_site_label
_atom_site_type_symbol
_atom_site_fract_x
_atom_site_fract_y
_atom_site_fract_z
Rh1 Rh 0.000 0.000 0.000
W1 W 0.500 0.500 0.500
Se1 Se 0.500 0.500 0.000
Br1 Br 0.000 0.500 0.500
```

Computed properties:
Magnetic moment in μB/atom: 0.04
Calculated volume in Å³/cell: 124.8
Uncorrected formation energy in meV per atom: 981
Total DFT energy (no corrections) in eV per cell: -22.23

Copy entry 1 word for word.
DFT (GGA-PBE) results for a relaxed structure of TlRhSeBr2.

```
data_TlRhSeBr2
_chemical_formula_sum 'Tl1 Rh1 Se1 Br2'
_cell_length_a 5.581
_cell_length_b 5.581
_cell_length_c 5.420
_cell_angle_alpha 90.00
_cell_angle_beta 90.00
_cell_angle_gamma 90.00
_space_group_name_H-M_alt 'P 4/m m m'
_space_group_IT_number 123
_space_group_name_Hall '-P 4 2'
loop_
_atom_site_label
_atom_site_type_symbol
_atom_site_fract_x
_atom_site_fract_y
_atom_site_fract_z
Tl1 Tl 0.000 0.000 0.000
Rh1 Rh 0.500 0.500 0.500
Se1 Se 0.000 0.000 0.500
Br1 Br 0.000 0.500 0.000
```

Computed properties:
Magnetic moment in μB/atom: 0.47
Calculated volume in Å³/cell: 168.8
Uncorrected formation energy in meV per atom: 750
Total DFT energy (no corrections) in eV per cell: -12.80